1.
Density functional theory data (PBE) for MnNb2Co after structural relaxation.

Output
Uncorrected energy, eV for the cell shown: -69.53
Energy relative to the elements, eV per atom: 0.4123

a = 6.9403 Å, b = 6.9403 Å, c = 5.5718 Å
α = 51.48°, β = 51.48°, γ = 90.00°
Sites, in units of the cell vectors:
Nb  0.6478  0.1250  0.2500
Nb  0.1022  0.6250  0.2500
Nb  0.3750  0.3522  0.7500
Nb  0.8750  0.8978  0.7500
Mn  0.5000  0.5000  0.0000
Mn  0.2500  0.7500  0.5000
Co  0.0000  0.0000  0.0000
Co  0.7500  0.2500  0.5000

2.
Density functional theory data (PBE) for FePRu2 after structural relaxation.

Output
Uncorrected energy, eV for the cell shown: -32.81
Energy relative to the elements, eV per atom: -0.0961

a = 3.7269 Å, b = 2.8203 Å, c = 5.2505 Å
α = 72.09°, β = 90.00°, γ = 90.00°
Sites, in units of the cell vectors:
Fe  0.5000  0.2500  0.2500
P  0.5000  0.7500  0.7500
Ru  0.0000  0.8731  0.9872
Ru  0.0000  0.6269  0.5128

3.
Density functional theory data (PBE) for Cs2AlAsI6 after structural relaxation.

Output
Uncorrected energy, eV for the cell shown: -27.03
Formation energy from raw total energies, eV per atom: -0.7628

a = 8.3729 Å, b = 8.3729 Å, c = 8.3709 Å
α = 59.99°, β = 59.99°, γ = 90.00°
Sites, in units of the cell vectors:
Cs  0.7500  0.2500  0.5000
Cs  0.2500  0.7500  0.5000
I  0.2523  0.2523  0.4953
I  0.7477  0.7477  0.5047
I  0.2501  0.2501  0.0000
I  0.7499  0.7499  0.0000
I  0.7499  0.2501  0.0000
I  0.2501  0.7499  0.0000
As  0.0000  0.0000  0.0000
Al  0.5000  0.5000  0.0000

4.
Density functional theory data (PBE) for Cs3TlHg2F9 after structural relaxation.

Output
Uncorrected energy, eV for the cell shown: -53.48
Formation energy from raw total energies, eV per atom: -2.0738

a = 6.6479 Å, b = 6.6479 Å, c = 8.1465 Å
α = 90.00°, β = 90.00°, γ = 120.00°
Sites, in units of the cell vectors:
Cs  0.3333  0.6667  0.6730
Cs  0.0000  0.0000  0.0000
Cs  0.6667  0.3333  0.3270
Tl  0.0000  0.0000  0.5000
Hg  0.3333  0.6667  0.1659
Hg  0.6667  0.3333  0.8341
F  0.8330  0.1670  0.6658
F  0.8330  0.6660  0.6658
F  0.3340  0.1670  0.6658
F  0.6660  0.8330  0.3342
F  0.1670  0.3340  0.3342
F  0.1670  0.8330  0.3342
F  0.5000  0.0000  0.0000
F  0.0000  0.5000  0.0000
F  0.5000  0.5000  0.0000

5.
Density functional theory data (PBE) for ThInNi6 after structural relaxation.

Output
Uncorrected energy, eV for the cell shown: -46.52
Energy relative to the elements, eV per atom: -0.2086

a = 4.3336 Å, b = 5.5040 Å, c = 5.5040 Å
α = 119.95°, β = 90.00°, γ = 90.00°
Sites, in units of the cell vectors:
Th  0.0000  0.0836  0.9164
In  0.5000  0.4164  0.5836
Ni  0.0000  0.0603  0.4050
Ni  0.0000  0.5950  0.9397
Ni  0.0000  0.5944  0.4056
Ni  0.5000  0.4530  0.1018
Ni  0.5000  0.8982  0.5470
Ni  0.5000  0.8987  0.1013

6.
Density functional theory data (PBE) for Ti5SiSb2 after structural relaxation.

Output
Energy relative to the lowest polymorph listed for this composition, eV per atom: 0.658
Uncorrected energy, eV for the cell shown: -105.93
Formation energy from raw total energies, eV per atom: 0.0223

a = 4.7325 Å, b = 6.8718 Å, c = 11.3337 Å
α = 90.00°, β = 90.00°, γ = 110.14°
Sites, in units of the cell vectors:
Ti  0.8942  0.7884  0.8695
Ti  0.8942  0.7884  0.6305
Ti  0.3046  0.6092  0.4741
Ti  0.3046  0.6092  0.0259
Ti  0.6962  0.3924  0.2500
Ti  0.3038  0.6076  0.7500
Ti  0.6954  0.3908  0.5259
Ti  0.6954  0.3908  0.9741
Ti  0.1058  0.2116  0.1305
Ti  0.1058  0.2116  0.3695
Si  0.7228  0.4456  0.7500
Si  0.2772  0.5544  0.2500
Sb  0.8902  0.7803  0.3855
Sb  0.8902  0.7803  0.1145
Sb  0.1098  0.2197  0.6145
Sb  0.1098  0.2197  0.8855

7.
Density functional theory data (PBE) for CrC2 after structural relaxation.

Output
Energy relative to the lowest polymorph listed for this composition, eV per atom: 0.763
Uncorrected energy, eV for the cell shown: -48.59
Energy relative to the elements, eV per atom: 1.2582

a = 4.8710 Å, b = 4.8710 Å, c = 4.8710 Å
α = 140.14°, β = 140.14°, γ = 57.63°
Sites, in units of the cell vectors:
Cr  0.0000  0.0000  0.0000
Cr  0.7500  0.2500  0.5000
C  0.5872  0.5872  0.0000
C  0.1628  0.6628  0.5000
C  0.4128  0.4128  0.0000
C  0.3372  0.8372  0.5000

8.
Density functional theory data (PBE) for AgBrF3 after structural relaxation.

Output
Energy relative to the lowest polymorph listed for this composition, eV per atom: 0.000
Uncorrected energy, eV for the cell shown: -29.12
Formation energy from raw total energies, eV per atom: -0.8845

a = 6.4682 Å, b = 6.7049 Å, c = 4.7746 Å
α = 73.43°, β = 94.94°, γ = 98.34°
Sites, in units of the cell vectors:
Ag  0.1831  0.6475  0.7216
Ag  0.7186  0.7024  0.1739
Br  0.4049  0.3360  0.7924
Br  0.8848  0.0407  0.2745
F  0.5986  0.4034  0.1204
F  0.4260  0.7717  0.9840
F  0.9979  0.5805  0.3490
F  0.9254  0.8437  0.6942
F  0.8619  0.2100  0.8919
F  0.2551  0.2281  0.5058